{
  "formula": "AcSbPt",
  "functional": "GGA-PBE",
  "state": "relaxed",
  "formation_energy_uncorrected_ev_per_atom": -0.99,
  "e_tot_ev_per_atom": -5.74,
  "lattice_angstrom": [[4.486, 0.000, 0.000], [-1.597, 5.987, 0.000], [-0.614, -0.390, 6.714]],
  "species": ["Ac", "Ac", "Sb", "Sb", "Pt", "Pt"],
  "frac_coords": [[0.000, 0.000, 0.000], [0.229, 0.493, 0.506], [0.340, 0.574, 0.008], [0.580, 0.047, 0.536], [0.622, 0.291, 0.219], [0.742, 0.381, 0.826]]
}

{
  "formula": "Ac12SbPt6",
  "functional": "GGA-PBE",
  "state": "relaxed",
  "formation_energy_uncorrected_ev_per_atom": -0.83,
  "e_tot_ev_per_atom": -5.55,
  "lattice_angstrom": [[-5.496, 5.496, 5.496], [5.496, -5.496, 5.496], [5.496, 5.496, -5.496]],
  "species": ["Ac", "Ac", "Ac", "Ac", "Ac", "Ac", "Ac", "Ac", "Ac", "Ac", "Ac", "Ac", "Sb", "Pt", "Pt", "Pt", "Pt", "Pt", "Pt"],
  "frac_coords": [[0.134, 0.311, 0.822], [0.178, 0.489, 0.311], [0.178, 0.866, 0.689], [0.311, 0.178, 0.489], [0.311, 0.822, 0.134], [0.489, 0.311, 0.178], [0.511, 0.689, 0.822], [0.689, 0.178, 0.866], [0.689, 0.822, 0.511], [0.822, 0.134, 0.311], [0.822, 0.511, 0.689], [0.866, 0.689, 0.178], [0.000, 0.000, 0.000], [0.133, 0.500, 0.633], [0.367, 0.867, 0.500], [0.500, 0.367, 0.867], [0.500, 0.633, 0.133], [0.633, 0.133, 0.500], [0.867, 0.500, 0.367]]
}

{
  "formula": "Ac2Sb3Pt4",
  "functional": "GGA-PBE",
  "state": "relaxed",
  "formation_energy_uncorrected_ev_per_atom": -0.81,
  "e_tot_ev_per_atom": -5.78,
  "lattice_angstrom": [[3.385, -8.106, 0.000], [3.385, 8.106, 0.000], [0.000, 0.000, 7.678]],
  "species": ["Ac", "Ac", "Ac", "Ac", "Sb", "Sb", "Sb", "Sb", "Sb", "Sb", "Pt", "Pt", "Pt", "Pt", "Pt", "Pt", "Pt", "Pt"],
  "frac_coords": [[0.107, 0.893, 0.914], [0.393, 0.607, 0.414], [0.607, 0.393, 0.586], [0.893, 0.107, 0.086], [0.000, 0.000, 0.500], [0.019, 0.481, 0.750], [0.481, 0.019, 0.250], [0.500, 0.500, 0.000], [0.519, 0.981, 0.750], [0.981, 0.519, 0.250], [0.181, 0.819, 0.523], [0.194, 0.306, 0.750], [0.306, 0.194, 0.250], [0.319, 0.681, 0.023], [0.681, 0.319, 0.977], [0.694, 0.806, 0.750], [0.806, 0.694, 0.250], [0.819, 0.181, 0.477]]
}

{
  "formula": "Ac4SbPt2",
  "functional": "GGA-PBE",
  "state": "relaxed",
  "formation_energy_uncorrected_ev_per_atom": -1.03,
  "e_tot_ev_per_atom": -5.69,
  "lattice_angstrom": [[2.241, -7.325, 0.000], [2.241, 7.325, 0.000], [0.000, 0.000, 15.090]],
  "species": ["Ac", "Ac", "Ac", "Ac", "Ac", "Ac", "Ac", "Ac", "Sb", "Sb", "Pt", "Pt", "Pt", "Pt"],
  "frac_coords": [[0.000, 0.000, 0.000], [0.000, 0.000, 0.500], [0.266, 0.734, 0.614], [0.266, 0.734, 0.886], [0.444, 0.556, 0.250], [0.556, 0.444, 0.750], [0.734, 0.266, 0.114], [0.734, 0.266, 0.386], [0.114, 0.886, 0.250], [0.886, 0.114, 0.750], [0.368, 0.632, 0.060], [0.368, 0.632, 0.440], [0.632, 0.368, 0.560], [0.632, 0.368, 0.940]]
}